# 1
Here is a relaxed structure of SrLi2SnAu4 from the Alexandria database. Energies are from PBE.

a b c (Å): 4.6496 4.6496 27.6460
angles (deg): 90.00 90.00 120.00
Space group R-3m (No. 166, hexagonal axes)
Unique sites:
Sr 0.0000 0.0000 0.0000 (multiplicity 3)
Li 0.0000 0.0000 0.2354 (multiplicity 6)
Sn 0.0000 0.0000 0.5000 (multiplicity 3)
Au 0.0000 0.0000 0.1213 (multiplicity 6)
Au 0.0000 0.0000 0.3989 (multiplicity 6)

Properties
Its density is 9.70 g cm⁻³. Its total energy is -3.33 eV/atom. For the formation energy, the calculation gives -498 meV per atom.

# 2
Here is a relaxed structure of LaSnAu4 from the Alexandria database. Energies are from PBE.

a b c (Å): 8.0880 8.0880 8.0880
angles (deg): 90.00 90.00 90.00
Space group F-43m (No. 216)
Unique sites:
La 0.0000 0.0000 0.0000 (multiplicity 4)
Sn 0.2500 0.2500 0.7500 (multiplicity 4)
Au 0.1247 0.1247 0.3753 (multiplicity 16)

Properties
Its density is 13.13 g cm⁻³. Its total energy is -4.13 eV/atom. For the formation energy, the calculation gives -454 meV per atom.

# 3
Here is a relaxed structure of K3In from the Alexandria database. Energies are from PBE.

a b c (Å): 9.8858 11.5267 7.4490
angles (deg): 90.00 90.00 90.00
Space group Pnma (No. 62)
Unique sites:
K 0.0252 0.2500 0.1019 (multiplicity 4)
K 0.1751 0.0551 0.6251 (multiplicity 8)
In 0.1201 0.7500 0.4160 (multiplicity 4)

Properties
Its density is 1.82 g cm⁻³. Its total energy is -1.49 eV/atom. For the formation energy, the calculation gives 19 meV per atom.

# 4
Here is a relaxed structure of P6PbSe2 from the Alexandria database. Energies are from PBE.

a b c (Å): 8.0701 7.3821 7.7078
angles (deg): 90.00 97.84 90.00
Space group P2_1/c (No. 14)
Unique sites:
P 0.0240 0.0965 0.1066 (multiplicity 4)
P 0.2696 0.0240 0.2396 (multiplicity 4)
P 0.3144 0.7484 0.6504 (multiplicity 4)
Pb 0.0000 0.0000 0.5000 (multiplicity 2)
Se 0.4958 0.1941 0.1066 (multiplicity 4)

Properties
Its density is 4.02 g cm⁻³. Its total energy is -4.66 eV/atom. As for the formation energy (no corrections): 0.137 eV/atom.

# 5
Here is a relaxed structure of NiCl2 from the Alexandria database. Energies are from PBE.

a b c (Å): 5.9779 5.9779 5.9779
angles (deg): 90.00 90.00 90.00
Space group Pa-3 (No. 205)
Unique sites:
Ni 0.0000 0.0000 0.0000 (multiplicity 4)
Cl 0.1539 0.6539 0.8461 (multiplicity 8)

Properties
Its density is 4.03 g cm⁻³. Its total energy is -3.52 eV/atom. As for the formation energy (no corrections): -0.359 eV/atom.

# 6
Here is a relaxed structure of Pm2DyMg3 from the Alexandria database. Energies are from PBE.

a b c (Å): 3.8331 3.8331 11.5385
angles (deg): 90.00 90.00 90.00
Space group P4/mmm (No. 123)
Unique sites:
Pm 0.0000 0.0000 0.1698 (multiplicity 2)
Dy 0.0000 0.0000 0.5000 (multiplicity 1)
Mg 0.5000 0.5000 0.0000 (multiplicity 1)
Mg 0.5000 0.5000 0.3391 (multiplicity 2)

Properties
Its density is 5.15 g cm⁻³. Its total energy is -3.24 eV/atom. For the formation energy, the calculation gives -97 meV per atom.

# 7
Here is a relaxed structure of K2BaTe2 from the Alexandria database. Energies are from PBE.

a b c (Å): 9.4049 9.4049 4.8854
angles (deg): 90.00 90.00 90.00
Space group P4/mbm (No. 127)
Unique sites:
K 0.1260 0.3740 0.0000 (multiplicity 4)
Ba 0.0000 0.0000 0.5000 (multiplicity 2)
Te 0.1786 0.6786 0.5000 (multiplicity 4)

Properties
Its density is 3.62 g cm⁻³. Its total energy is -3.18 eV/atom. As for the formation energy (no corrections): -1.100 eV/atom.

# 8
Here is a relaxed structure of Mn2FeCu from the Alexandria database. Energies are from PBE.

a b c (Å): 6.4128 6.4128 4.8707
angles (deg): 90.00 90.00 90.00
Space group I-42d (No. 122)
Unique sites:
Mn 0.2146 0.2500 0.1250 (multiplicity 8)
Fe 0.0000 0.0000 0.0000 (multiplicity 4)
Cu 0.0000 0.0000 0.5000 (multiplicity 4)

Properties
Its density is 7.60 g cm⁻³. Its total energy is -7.08 eV/atom. For the formation energy, the calculation gives 646 meV per atom.

# 9
Here is a relaxed structure of TlZn3Fe from the Alexandria database. Energies are from PBE.

a b c (Å): 4.7496 4.7496 4.7496
angles (deg): 90.00 90.00 90.00
Space group Pm-3m (No. 221)
Unique sites:
Tl 0.0000 0.0000 0.0000 (multiplicity 1)
Zn 0.0000 0.5000 0.5000 (multiplicity 3)
Fe 0.5000 0.5000 0.5000 (multiplicity 1)

Properties
Its density is 7.07 g cm⁻³. Its total energy is -2.49 eV/atom. For the formation energy, the calculation gives 435 meV per atom.

# 10
Here is a relaxed structure of K2ScCu from the Alexandria database. Energies are from PBE.

a b c (Å): 5.6334 5.6334 7.9424
angles (deg): 90.00 90.00 90.00
Space group I-4m2 (No. 119)
Unique sites:
K 0.0000 0.0000 0.0000 (multiplicity 2)
K 0.0000 0.5000 0.2500 (multiplicity 2)
Sc 0.0000 0.0000 0.5000 (multiplicity 2)
Cu 0.0000 0.5000 0.7500 (multiplicity 2)

Properties
Its density is 2.46 g cm⁻³. Its total energy is -2.40 eV/atom. For the formation energy, the calculation gives 752 meV per atom.

# 11
Here is a relaxed structure of Cs4KCu3Br12 from the Alexandria database. Energies are from PBE.

a b c (Å): 10.9880 10.9880 10.9880
angles (deg): 90.00 90.00 90.00
Space group Im-3m (No. 229)
Unique sites:
Cs 0.2500 0.2500 0.2500 (multiplicity 8)
K 0.0000 0.0000 0.0000 (multiplicity 2)
Cu 0.0000 0.0000 0.5000 (multiplicity 6)
Br 0.0000 0.0000 0.2836 (multiplicity 12)
Br 0.0000 0.2500 0.5000 (multiplicity 12)

Properties
Its density is 4.31 g cm⁻³. Its total energy is -2.84 eV/atom. As for the formation energy (no corrections): -1.001 eV/atom.

# 12
Here is a relaxed structure of MgScH6Rh2 from the Alexandria database. Energies are from PBE.

a b c (Å): 4.4840 4.4840 14.9548
angles (deg): 90.00 90.00 120.00
Space group R-3m (No. 166, hexagonal axes)
Unique sites:
Mg 0.0000 0.0000 0.0000 (multiplicity 3)
Sc 0.0000 0.0000 0.5000 (multiplicity 3)
H 0.0028 0.5014 0.4449 (multiplicity 18)
Rh 0.0000 0.0000 0.2897 (multiplicity 6)

Properties
Its density is 5.38 g cm⁻³. Its total energy is -4.57 eV/atom.

# 13
Here is a relaxed structure of SnRhN from the Alexandria database. Energies are from PBE.

a b c (Å): 5.1147 5.1214 9.2551
angles (deg): 90.00 105.87 90.00
Space group C2/m (No. 12)
Unique sites:
Sn 0.1963 0.0000 0.3916 (multiplicity 4)
Rh 0.1477 0.5000 0.2935 (multiplicity 4)
N 0.0321 0.5000 0.0640 (multiplicity 4)

Properties
Its density is 6.71 g cm⁻³. Its total energy is -6.69 eV/atom. As for the formation energy (no corrections): -0.126 eV/atom.

# 14
Here is a relaxed structure of Ca5Pm2Sn4 from the Alexandria database. Energies are from PBE.

a b c (Å): 24.2359 3.8824 8.3468
angles (deg): 90.00 93.15 90.00
Space group C2/m (No. 12)
Unique sites:
Ca 0.0000 0.0000 0.0000 (multiplicity 2)
Ca 0.1195 0.5000 0.4328 (multiplicity 4)
Ca 0.1697 0.5000 0.9982 (multiplicity 4)
Pm 0.2289 0.0000 0.6613 (multiplicity 4)
Sn 0.0094 0.5000 0.6825 (multiplicity 4)
Sn 0.1018 0.0000 0.7429 (multiplicity 4)

Properties
Its density is 4.09 g cm⁻³. Its total energy is -3.42 eV/atom. For the formation energy, the calculation gives -192 meV per atom.

# 15
Here is a relaxed structure of Ti3Be11 from the Alexandria database. Energies are from PBE.

a b c (Å): 3.6084 7.2982 10.6091
angles (deg): 90.00 90.00 90.00
Space group Immm (No. 71)
Unique sites:
Ti 0.0000 0.0000 0.0000 (multiplicity 2)
Ti 0.0000 0.0000 0.2876 (multiplicity 4)
Be 0.0000 0.1781 0.5000 (multiplicity 4)
Be 0.0000 0.2838 0.1379 (multiplicity 8)
Be 0.0000 0.3583 0.3433 (multiplicity 8)
Be 0.0000 0.5000 0.0000 (multiplicity 2)

Properties
Its density is 2.89 g cm⁻³. Its total energy is -4.79 eV/atom. For the formation energy, the calculation gives -166 meV per atom.

# 16
Here is a relaxed structure of Tb8Zn2Ga from the Alexandria database. Energies are from PBE.

a b c (Å): 17.8015 5.1059 6.9462
angles (deg): 90.00 107.54 90.00
Space group C2/m (No. 12)
Unique sites:
Tb 0.0262 0.0000 0.2753 (multiplicity 4)
Tb 0.0918 0.5000 0.9598 (multiplicity 4)
Tb 0.1684 0.5000 0.4758 (multiplicity 4)
Tb 0.1981 0.0000 0.8159 (multiplicity 4)
Zn 0.1824 0.0000 0.2144 (multiplicity 4)
Ga 0.0000 0.5000 0.5000 (multiplicity 2)

Properties
Its density is 8.12 g cm⁻³. Its total energy is -4.07 eV/atom. For the formation energy, the calculation gives -196 meV per atom.

# 17
Here is a relaxed structure of NaMg2AlRh from the Alexandria database. Energies are from PBE.

a b c (Å): 5.1735 5.1735 4.5525
angles (deg): 90.00 90.00 90.00
Space group P4/mmm (No. 123)
Unique sites:
Na 0.0000 0.0000 0.0000 (multiplicity 1)
Mg 0.0000 0.5000 0.5000 (multiplicity 2)
Al 0.5000 0.5000 0.5000 (multiplicity 1)
Rh 0.5000 0.5000 0.0000 (multiplicity 1)

Properties
Its density is 2.75 g cm⁻³. Its total energy is -2.87 eV/atom. For the formation energy, the calculation gives 250 meV per atom.

# 18
Here is a relaxed structure of RbYBe2 from the Alexandria database. Energies are from PBE.

a b c (Å): 8.1396 8.1396 7.0264
angles (deg): 90.00 90.00 90.00
Space group I-42d (No. 122)
Unique sites:
Rb 0.0000 0.0000 0.0000 (multiplicity 4)
Y 0.0000 0.0000 0.5000 (multiplicity 4)
Be 0.2075 0.2500 0.6250 (multiplicity 8)

Properties
Its density is 2.75 g cm⁻³. Its total energy is -2.51 eV/atom. For the formation energy, the calculation gives 1216 meV per atom.

# 19
Here is a relaxed structure of Pm3PBr7 from the Alexandria database. Energies are from PBE.

a b c (Å): 8.6890 8.6890 6.7959
angles (deg): 90.00 90.00 120.00
Space group P3m1 (No. 156)
Unique sites:
Pm 0.0080 0.5040 0.0000 (multiplicity 3)
P 0.3333 0.6667 0.8006 (multiplicity 1)
Br 0.1778 0.3557 0.2436 (multiplicity 3)
Br 0.3503 0.1752 0.7793 (multiplicity 3)
Br 0.6667 0.3333 0.2478 (multiplicity 1)

Properties
Its density is 3.83 g cm⁻³. Its total energy is -4.44 eV/atom. As for the formation energy (no corrections): -1.593 eV/atom.

# 20
Here is a relaxed structure of La6Sb5Te from the Alexandria database. Energies are from PBE.

a b c (Å): 8.0040 13.8541 8.0015
angles (deg): 90.00 109.47 90.00
Space group C2/m (No. 12)
Unique sites:
La 0.2466 0.0000 0.2523 (multiplicity 4)
La 0.2469 0.1687 0.7473 (multiplicity 8)
Sb 0.0000 0.0000 0.5000 (multiplicity 2)
Sb 0.0000 0.1670 0.0000 (multiplicity 4)
Sb 0.0000 0.3347 0.5000 (multiplicity 4)
Te 0.0000 0.5000 0.0000 (multiplicity 2)

Properties
Its density is 6.23 g cm⁻³. Its total energy is -5.80 eV/atom. As for the formation energy (no corrections): -1.361 eV/atom.